# Mg2MnI (SCAN, PBEsol geometry)
# Formation energy without anion corrections (eV per atom): 0.4469
# Magnetization (μB/f.u.): 3.89
data_Mg2MnI
_cell_length_a 5.112
_cell_length_b 5.112
_cell_length_c 5.112
_cell_angle_alpha 60.00
_cell_angle_beta 60.00
_cell_angle_gamma 60.00
_space_group_name_H-M_alt 'P 1'
_space_group_IT_number 1
_space_group_name_Hall 'P 1'
loop_
_atom_site_label
_atom_site_fract_x
_atom_site_fract_y
_atom_site_fract_z
Mg1 0.250 0.250 0.250
Mg2 0.750 0.750 0.750
Mn1 0.000 0.000 0.000
I1 0.500 0.500 0.500

***

# NaGa3Te5 (SCAN, PBEsol geometry)
# Formation energy without anion corrections (eV per atom): -0.5007
# Magnetization (μB/f.u.): 0.00
data_NaGa3Te5
_cell_length_a 10.246
_cell_length_b 10.246
_cell_length_c 10.246
_cell_angle_alpha 90.28
_cell_angle_beta 90.28
_cell_angle_gamma 90.28
_space_group_name_H-M_alt 'P 1'
_space_group_IT_number 1
_space_group_name_Hall 'P 1'
loop_
_atom_site_label
_atom_site_fract_x
_atom_site_fract_y
_atom_site_fract_z
Na1 0.000 0.000 0.000
Na2 0.243 0.757 0.500
Na3 0.500 0.243 0.757
Na4 0.757 0.500 0.243
Ga1 0.075 0.338 0.377
Ga2 0.158 0.332 0.753
Ga3 0.247 0.668 0.842
Ga4 0.332 0.753 0.158
Ga5 0.338 0.377 0.075
Ga6 0.377 0.075 0.338
Ga7 0.623 0.662 0.925
Ga8 0.662 0.925 0.623
Ga9 0.668 0.842 0.247
Ga10 0.753 0.158 0.332
Ga11 0.842 0.247 0.668
Ga12 0.925 0.623 0.662
Te1 0.000 0.580 0.420
Te2 0.066 0.820 0.749
Te3 0.071 0.168 0.569
Te4 0.168 0.569 0.071
Te5 0.180 0.934 0.251
Te6 0.251 0.180 0.934
Te7 0.330 0.500 0.670
Te8 0.332 0.332 0.332
Te9 0.420 0.000 0.580
Te10 0.431 0.832 0.929
Te11 0.500 0.670 0.330
Te12 0.569 0.071 0.168
Te13 0.580 0.420 0.000
Te14 0.668 0.668 0.668
Te15 0.670 0.330 0.500
Te16 0.749 0.066 0.820
Te17 0.820 0.749 0.066
Te18 0.832 0.929 0.431
Te19 0.929 0.431 0.832
Te20 0.934 0.251 0.180

***

- What is the formation energy without anion corrections in the first record?
  0.4469 eV per atom